## VO2F (GGA+U)

Data for a geometry-optimized VO2F structure.

Computed properties:
M_tot: 0.00 Bohr magnetons per cell
DFT total energy: -162.86 eV/cell

Cell lengths 5.195, 5.304, 13.050 Å; angles 89.38, 87.75, 61.90 degrees
Space group P1 (No. 1)
Inequivalent atoms, fractional coordinates:
V (0.000, 0.000, 0.000) [1 per cell]
V (0.004, 0.058, 0.507) [1 per cell]
V (0.320, 0.330, 0.835) [1 per cell]
V (0.354, 0.347, 0.333) [1 per cell]
V (0.655, 0.675, 0.169) [1 per cell]
V (0.679, 0.655, 0.669) [1 per cell]
O (0.012, 0.527, 0.715) [1 per cell]
O (0.109, 0.182, 0.879) [1 per cell]
O (0.162, 0.224, 0.416) [1 per cell]
O (0.272, 0.906, 0.586) [1 per cell]
O (0.331, 0.853, 0.045) [1 per cell]
O (0.441, 0.524, 0.214) [1 per cell]
O (0.492, 0.561, 0.754) [1 per cell]
O (0.581, 0.225, 0.918) [1 per cell]
O (0.683, 0.183, 0.377) [1 per cell]
O (0.759, 0.371, 0.569) [1 per cell]
O (0.811, 0.894, 0.084) [1 per cell]
O (0.912, 0.566, 0.253) [1 per cell]
F (0.066, 0.704, 0.900) [1 per cell]
F (0.216, 0.701, 0.400) [1 per cell]
F (0.403, 0.047, 0.232) [1 per cell]
F (0.538, 0.048, 0.730) [1 per cell]
F (0.800, 0.850, 0.543) [1 per cell]
F (0.865, 0.376, 0.065) [1 per cell]